Entry from Alexandria via LeMat-Bulk: a geometry-optimized Rb2Sr structure (PBE-GGA).

The structure in POSCAR format:
```
Rb2Sr
1.0
-2.259 2.259 10.926
2.259 -2.259 10.926
2.259 2.259 -10.926
Rb Sr
2 1
Direct
0.159 0.159 0.000
0.841 0.841 0.000
0.500 0.500 0.000
```

The density of states at the Fermi level comes out at 3.3 states/eV per cell. As for the space group: No. 139. The total energy is -1.085 eV/atom. For the formation energy from the elements, the calculation gives 120 meV/atom. Its magnetization is 0.00 Bohr magnetons per cell.